1.
A relaxed Y2ScTc2 crystal. Source: the Alexandria database, functional PBE.

## Properties
- DFT formation energy (eV per formula unit) = 0.14
- V (Å³/atom) = 22.5
- magnetization (μB/f.u.) = 0.00
- E above lowest polymorph (eV per atom) = 0.0000
- VASP energy (eV/cell) = -79.70

Unit cell a=6.985 b=6.985 c=4.612 alpha=90.00 beta=90.00 gamma=90.00
Space group P4/mbm (No. 127)
Unique sites:
Y (0.175, 0.325, 0.000)
Sc (0.000, 0.000, 0.500)
Tc (0.122, 0.622, 0.500)

=====

2.
A relaxed YSc4Tc crystal. Source: the Alexandria database, functional PBE.

## Properties
- DFT formation energy (eV per formula unit) = 2.93
- V (Å³/atom) = 23.1
- magnetization (μB/f.u.) = 2.59
- VASP energy (eV/cell) = -156.92

Unit cell a=8.210 b=8.210 c=8.210 alpha=90.00 beta=90.00 gamma=90.00
Space group F-43m (No. 216)
Unique sites:
Y (0.000, 0.000, 0.000)
Sc (0.124, 0.124, 0.624)
Tc (0.250, 0.250, 0.250)

=====

3.
A relaxed YScZnTc crystal. Source: the Alexandria database, functional PBE.

## Properties
- DFT formation energy (eV per formula unit) = -0.73
- V (Å³/atom) = 19.5
- magnetization (μB/f.u.) = 0.00
- VASP energy (eV/cell) = -100.66

Unit cell a=6.786 b=6.786 c=6.786 alpha=90.00 beta=90.00 gamma=90.00
Space group F-43m (No. 216)
Unique sites:
Y (0.000, 0.000, 0.000)
Sc (0.000, 0.000, 0.500)
Zn (0.250, 0.250, 0.250)
Tc (0.250, 0.250, 0.750)

=====

4.
A relaxed YZrSc2Tc crystal. Source: the Alexandria database, functional PBE.

## Properties
- DFT formation energy (eV per formula unit) = 0.51
- V (Å³/atom) = 26.2
- magnetization (μB/f.u.) = 0.00
- VASP energy (eV/cell) = -37.53

Unit cell a=5.091 b=5.091 c=5.045 alpha=90.00 beta=90.00 gamma=90.00
Space group P4/mmm (No. 123)
Unique sites:
Y (0.000, 0.000, 0.000)
Zr (0.500, 0.500, 0.000)
Sc (0.000, 0.500, 0.500)
Tc (0.500, 0.500, 0.500)

=====

5.
A relaxed ScZnTc2 crystal. Source: the Alexandria database, functional PBE.

## Properties
- DFT formation energy (eV per formula unit) = -0.26
- V (Å³/atom) = 16.0
- magnetization (μB/f.u.) = 0.00
- VASP energy (eV/cell) = -28.60

Unit cell a=2.920 b=4.322 c=5.211 alpha=90.00 beta=102.89 gamma=90.00
Space group Pm (No. 6)
Unique sites:
Sc (0.000, 0.000, 0.000)
Zn (0.403, 0.500, 0.785)
Tc (0.423, 0.000, 0.486)
Tc (0.725, 0.500, 0.318)

=====

6.
A relaxed Sc2ZnTc2 crystal. Source: the Alexandria database, functional PBE.

## Properties
- DFT formation energy (eV per formula unit) = -0.62
- V (Å³/atom) = 18.2
- magnetization (μB/f.u.) = 0.58
- VASP energy (eV/cell) = -70.57

Unit cell a=6.641 b=6.641 c=4.121 alpha=90.00 beta=90.00 gamma=90.00
Space group P4/mbm (No. 127)
Unique sites:
Sc (0.175, 0.325, 0.000)
Zn (0.000, 0.000, 0.500)
Tc (0.127, 0.627, 0.500)

=====

7.
A relaxed ScZnTc2 crystal. Source: the Alexandria database, functional PBE.

## Properties
- DFT formation energy (eV per formula unit) = 0.18
- V (Å³/atom) = 16.0
- magnetization (μB/f.u.) = 0.00
- VASP energy (eV/cell) = -28.16

Unit cell a=2.861 b=4.569 c=4.906 alpha=90.00 beta=95.40 gamma=90.00
Space group P2/m (No. 10)
Unique sites:
Sc (0.000, 0.000, 0.000)
Zn (0.500, 0.000, 0.500)
Tc (0.310, 0.500, 0.757)

=====

8.
A relaxed ScZnTc2 crystal. Source: the Alexandria database, functional PBE.

## Properties
- DFT formation energy (eV per formula unit) = -0.26
- V (Å³/atom) = 16.0
- magnetization (μB/f.u.) = 0.00
- VASP energy (eV/cell) = -57.19

Unit cell a=3.235 b=4.429 c=8.927 alpha=90.00 beta=90.00 gamma=90.00
Space group Imm2 (No. 44)
Unique sites:
Sc (0.000, 0.000, 0.000)
Zn (0.000, 0.500, 0.774)
Tc (0.000, 0.000, 0.527)
Tc (0.000, 0.500, 0.243)

=====

9.
A relaxed Sc4ZnTc crystal. Source: the Alexandria database, functional PBE.

## Properties
- DFT formation energy (eV per formula unit) = 2.95
- V (Å³/atom) = 20.0
- magnetization (μB/f.u.) = 0.00
- E above lowest polymorph (eV per atom) = 0.6927
- VASP energy (eV/cell) = -136.07

Unit cell a=7.825 b=7.825 c=7.825 alpha=90.00 beta=90.00 gamma=90.00
Space group F-43m (No. 216)
Unique sites:
Sc (0.123, 0.123, 0.123)
Zn (0.000, 0.000, 0.500)
Tc (0.250, 0.250, 0.750)

=====

10.
A relaxed Sc3Zn2Tc crystal. Source: the Alexandria database, functional PBE.

## Properties
- DFT formation energy (eV per formula unit) = -2.14
- V (Å³/atom) = 18.2
- magnetization (μB/f.u.) = 0.00
- E above lowest polymorph (eV per atom) = 0.0000
- VASP energy (eV/cell) = -136.18

Unit cell a=4.702 b=14.028 c=6.634 alpha=90.00 beta=90.00 gamma=90.00
Space group Cmmm (No. 65)
Unique sites:
Sc (0.000, 0.000, 0.239)
Sc (0.000, 0.329, 0.235)
Zn (0.000, 0.166, 0.500)
Zn (0.000, 0.500, 0.000)
Zn (0.000, 0.500, 0.500)
Tc (0.000, 0.163, 0.000)

=====

11.
A relaxed Sc4ZnTc crystal. Source: the Alexandria database, functional PBE.

## Properties
- DFT formation energy (eV per formula unit) = 0.08
- V (Å³/atom) = 22.7
- magnetization (μB/f.u.) = 0.00
- E above lowest polymorph (eV per atom) = 0.2145
- VASP energy (eV/cell) = -110.66

Unit cell a=4.7647 b=4.7647 c=20.8209 alpha=90.00 beta=90.00 gamma=120.00
Space group R-3m (No. 166, hexagonal axes)
Unique sites:
Sc (0.0000, 0.0000, 0.1224)
Sc (0.0000, 0.0000, 0.3660)
Zn (0.0000, 0.0000, 0.5000)
Tc (0.0000, 0.0000, 0.0000)

=====

12.
A relaxed ScZnTc2 crystal. Source: the Alexandria database, functional PBE.

## Properties
- DFT formation energy (eV per formula unit) = -0.14
- V (Å³/atom) = 15.6
- magnetization (μB/f.u.) = 0.00
- VASP energy (eV/cell) = -28.48

Unit cell a=3.826 b=3.826 c=4.272 alpha=90.00 beta=90.00 gamma=90.00
Space group P4/mmm (No. 123)
Unique sites:
Sc (0.000, 0.000, 0.000)
Zn (0.500, 0.500, 0.000)
Tc (0.000, 0.500, 0.500)

=====

13.
A relaxed ScZnTc2 crystal. Source: the Alexandria database, functional PBE.

## Properties
- DFT formation energy (eV per formula unit) = 0.22
- V (Å³/atom) = 15.9
- magnetization (μB/f.u.) = 0.00
- VASP energy (eV/cell) = -56.24

Unit cell a=3.808 b=3.808 c=8.781 alpha=90.00 beta=90.00 gamma=90.00
Space group I4/mmm (No. 139)
Unique sites:
Sc (0.000, 0.000, 0.000)
Zn (0.000, 0.000, 0.500)
Tc (0.000, 0.500, 0.250)

=====

14.
A relaxed Sc4ZnTc crystal. Source: the Alexandria database, functional PBE.

## Properties
- DFT formation energy (eV per formula unit) = -1.21
- V (Å³/atom) = 20.6
- magnetization (μB/f.u.) = 0.00
- E above lowest polymorph (eV per atom) = 0.0000
- VASP energy (eV/cell) = -38.17

Unit cell a=3.316 b=3.316 c=11.220 alpha=90.00 beta=90.00 gamma=90.00
Space group P4/mmm (No. 123)
Unique sites:
Sc (0.000, 0.000, 0.133)
Sc (0.500, 0.500, 0.352)
Zn (0.000, 0.000, 0.500)
Tc (0.500, 0.500, 0.000)

=====

15.
A relaxed ScZnTc2 crystal. Source: the Alexandria database, functional PBE.

## Properties
- DFT formation energy (eV per formula unit) = 0.87
- V (Å³/atom) = 16.0
- magnetization (μB/f.u.) = 0.04
- VASP energy (eV/cell) = -82.40

Unit cell a=2.9037 b=2.9037 c=26.3376 alpha=90.00 beta=90.00 gamma=120.00
Space group R-3m (No. 166, hexagonal axes)
Unique sites:
Sc (0.0000, 0.0000, 0.0000)
Zn (0.0000, 0.0000, 0.5000)
Tc (0.0000, 0.0000, 0.2469)

=====

16.
A relaxed Sc2Zn3Tc crystal. Source: the Alexandria database, functional PBE.

## Properties
- DFT formation energy (eV per formula unit) = -2.00
- V (Å³/atom) = 16.8
- magnetization (μB/f.u.) = 0.00
- VASP energy (eV/cell) = -57.70

Unit cell a=8.828 b=5.112 c=5.348 alpha=90.00 beta=123.40 gamma=90.00
Space group C2/m (No. 12)
Unique sites:
Sc (0.129, 0.000, 0.387)
Zn (0.000, 0.500, 0.000)
Zn (0.250, 0.250, 0.000)
Tc (0.000, 0.500, 0.500)

=====

17.
A relaxed Sc5Zn2Tc crystal. Source: the Alexandria database, functional PBE.

## Properties
- DFT formation energy (eV per formula unit) = -2.08
- V (Å³/atom) = 19.8
- magnetization (μB/f.u.) = 0.00
- VASP energy (eV/cell) = -93.30

Unit cell a=5.980 b=11.307 c=4.688 alpha=90.00 beta=90.00 gamma=90.00
Space group Pbam (No. 55)
Unique sites:
Sc (0.000, 0.000, 0.000)
Sc (0.135, 0.280, 0.000)
Sc (0.159, 0.609, 0.500)
Zn (0.141, 0.870, 0.500)
Tc (0.000, 0.500, 0.000)

=====

18.
A relaxed ScZnTc2 crystal. Source: the Alexandria database, functional PBE.

## Properties
- DFT formation energy (eV per formula unit) = 0.05
- V (Å³/atom) = 15.6
- magnetization (μB/f.u.) = 0.00
- VASP energy (eV/cell) = -56.58

Unit cell a=5.481 b=8.950 c=2.742 alpha=90.00 beta=111.61 gamma=90.00
Space group C2/m (No. 12)
Unique sites:
Sc (0.000, 0.000, 0.000)
Zn (0.000, 0.500, 0.000)
Tc (0.250, 0.250, 0.500)

=====

19.
A relaxed Sc3Zn2Tc2 crystal. Source: the Alexandria database, functional PBE.

## Properties
- DFT formation energy (eV per formula unit) = -0.99
- V (Å³/atom) = 18.3
- magnetization (μB/f.u.) = 0.00
- VASP energy (eV/cell) = -86.52

Unit cell a=4.054 b=20.794 c=3.032 alpha=90.00 beta=90.00 gamma=90.00
Space group Cmmm (No. 65)
Unique sites:
Sc (0.000, 0.000, 0.000)
Sc (0.000, 0.151, 0.000)
Zn (0.000, 0.424, 0.500)
Tc (0.000, 0.280, 0.500)

=====

20.
A relaxed Sc4Zn2Tc crystal. Source: the Alexandria database, functional PBE.

## Properties
- DFT formation energy (eV per formula unit) = -1.46
- V (Å³/atom) = 20.2
- magnetization (μB/f.u.) = 0.00
- VASP energy (eV/cell) = -79.40

Unit cell a=4.618 b=4.618 c=13.239 alpha=90.00 beta=90.00 gamma=90.00
Space group I4/mmm (No. 139)
Unique sites:
Sc (0.000, 0.500, 0.116)
Zn (0.000, 0.000, 0.245)
Tc (0.000, 0.000, 0.000)